# 1
Computed, not measured: a geometry-optimized Li2HfF6 structure at the GGA-PBE level of DFT.

The total magnetic moment is 0.0 μB/f.u. The uncorrected formation energy is -31.287 eV/f.u. Its uncorrected energy is -112.593 eV/cell.

Lattice parameters (Å, degrees): 4.8170 4.8170 9.3237 90.00 90.00 90.00
Fractional coordinates of all 18 atoms:
Li (0.0000, 0.0000, 0.3394)
Li (0.5000, 0.5000, 0.8394)
Li (0.5000, 0.5000, 0.1606)
Li (0.0000, 0.0000, 0.6606)
Hf (0.0000, 0.0000, 0.0000)
Hf (0.5000, 0.5000, 0.5000)
F (0.3019, 0.3019, 0.3402)
F (0.6981, 0.6981, 0.3402)
F (0.1981, 0.8019, 0.8402)
F (0.8019, 0.1981, 0.8402)
F (0.1981, 0.8019, 0.1598)
F (0.8019, 0.1981, 0.1598)
F (0.3019, 0.3019, 0.6598)
F (0.6981, 0.6981, 0.6598)
F (0.2963, 0.2963, 0.0000)
F (0.7037, 0.7037, 0.0000)
F (0.2037, 0.7963, 0.5000)
F (0.7963, 0.2037, 0.5000)



# 2
Computed, not measured: a geometry-optimized LiCd2GeO4 structure at the GGA-PBE level of DFT.

The total magnetic moment is 0.0 μB/f.u. The uncorrected formation energy is -10.985 eV/f.u. Its uncorrected energy is -39.179 eV/cell.

Lattice parameters (Å, degrees): 4.8208 4.8208 6.0477 113.49 113.49 90.00
Fractional coordinates of all 8 atoms:
Li (0.0000, 0.0000, 0.0000)
Cd (0.7500, 0.2500, 0.5001)
Cd (0.2500, 0.7500, 0.5001)
Ge (0.5000, 0.5000, 0.0001)
O (0.6241, 0.6241, 0.8017)
O (0.3760, 0.8224, 0.1984)
O (0.8224, 0.3760, 0.1984)
O (0.1777, 0.1777, 0.8017)